Cs2RbCaAu: relaxed, PBE.

```
data_Cs2RbCaAu
_chemical_formula_sum 'Cs2 Rb1 Ca1 Au1'
_space_group_name_H-M_alt 'P 4/m m m'
_space_group_IT_number 123
_space_group_name_Hall '-P 4 2'
_cell_length_a 7.246
_cell_length_b 7.246
_cell_length_c 6.053
_cell_angle_alpha 90.00
_cell_angle_beta 90.00
_cell_angle_gamma 90.00
loop_
_atom_site_label
_atom_site_type_symbol
_atom_site_fract_x
_atom_site_fract_y
_atom_site_fract_z
_atom_site_occupancy
Cs1 Cs 0.000 0.500 0.000 1
Rb1 Rb 0.000 0.000 0.500 1
Ca1 Ca 0.500 0.500 0.500 1
Au1 Au 0.500 0.500 0.000 1
```

Tb3Nd3Sm8: relaxed, PBE.

```
data_Tb3Nd3Sm8
_chemical_formula_sum 'Tb6 Nd6 Sm16'
_space_group_name_H-M_alt 'I m m m'
_space_group_IT_number 71
_space_group_name_Hall '-I 2 2'
_cell_length_a 5.704
_cell_length_b 10.904
_cell_length_c 15.327
_cell_angle_alpha 90.00
_cell_angle_beta 90.00
_cell_angle_gamma 90.00
loop_
_atom_site_label
_atom_site_type_symbol
_atom_site_fract_x
_atom_site_fract_y
_atom_site_fract_z
_atom_site_occupancy
Tb1 Tb 0.000 0.000 0.000 1
Tb2 Tb 0.000 0.500 0.316 1
Nd1 Nd 0.000 0.000 0.500 1
Nd2 Nd 0.000 0.305 0.500 1
Sm1 Sm 0.000 0.159 0.277 1
Sm2 Sm 0.000 0.338 0.104 1
```

| no. | ΔE_f (meV per atom) | electronic total energy (eV per atom) |
| --- | --- | --- |
| 1 | -103 | -1.69 |
| 2 | 113 | -4.60 |